Entry 1:
Density functional theory data (PBE) for a geometry-optimized Sm2ThPd2 structure.

**SG**: Cmcm

abc: 7.931 7.931 6.212
angles: 90.00 90.00 134.01
Sites, in units of the cell vectors:
Sm (0.081, 0.919, 0.750)
Sm (0.285, 0.715, 0.250)
Sm (0.715, 0.285, 0.750)
Sm (0.919, 0.081, 0.250)
Th (0.500, 0.500, 0.000)
Th (0.500, 0.500, 0.500)
Pd (0.111, 0.349, 0.750)
Pd (0.349, 0.111, 0.250)
Pd (0.651, 0.889, 0.750)
Pd (0.889, 0.651, 0.250)

=====

Entry 2:
Density functional theory data (PBE) for a geometry-optimized SmThZnPd structure.

**SG**: F-43m

abc: 5.141 5.141 5.141
angles: 60.00 60.00 60.00
Sites, in units of the cell vectors:
Sm (0.000, 0.000, 0.000)
Th (0.500, 0.500, 0.500)
Zn (0.750, 0.750, 0.750)
Pd (0.250, 0.250, 0.250)

=====

Entry 3:
Density functional theory data (PBE) for a geometry-optimized Sm3TiPd12 structure.

**SG**: P4/mmm

abc: 4.116 4.116 16.421
angles: 90.00 90.00 90.00
Sites, in units of the cell vectors:
Sm (0.000, 0.000, 0.000)
Sm (0.000, 0.000, 0.257)
Sm (0.000, 0.000, 0.743)
Ti (0.000, 0.000, 0.500)
Pd (0.000, 0.500, 0.129)
Pd (0.000, 0.500, 0.389)
Pd (0.000, 0.500, 0.611)
Pd (0.000, 0.500, 0.871)
Pd (0.500, 0.000, 0.129)
Pd (0.500, 0.000, 0.389)
Pd (0.500, 0.000, 0.611)
Pd (0.500, 0.000, 0.871)
Pd (0.500, 0.500, 0.000)
Pd (0.500, 0.500, 0.259)
Pd (0.500, 0.500, 0.500)
Pd (0.500, 0.500, 0.741)

=====

Entry 4:
Density functional theory data (PBE) for a geometry-optimized Sm3Ti5Pd12 structure.

**SG**: Ia-3d

abc: 13.282 13.282 13.282
angles: 109.47 109.47 109.47
Sites, in units of the cell vectors:
Sm (0.125, 0.250, 0.375)
Sm (0.125, 0.375, 0.750)
Sm (0.250, 0.375, 0.125)
Sm (0.250, 0.875, 0.625)
Sm (0.375, 0.125, 0.250)
Sm (0.375, 0.750, 0.125)
Sm (0.625, 0.250, 0.875)
Sm (0.625, 0.875, 0.750)
Sm (0.750, 0.125, 0.375)
Sm (0.750, 0.625, 0.875)
Sm (0.875, 0.625, 0.250)
Sm (0.875, 0.750, 0.625)
Ti (0.000, 0.000, 0.000)
Ti (0.000, 0.000, 0.500)
Ti (0.000, 0.500, 0.000)
Ti (0.000, 0.500, 0.500)
Ti (0.125, 0.750, 0.875)
Ti (0.125, 0.875, 0.250)
Ti (0.250, 0.125, 0.875)
Ti (0.250, 0.625, 0.375)
Ti (0.375, 0.250, 0.625)
Ti (0.375, 0.625, 0.750)
Ti (0.500, 0.000, 0.000)
Ti (0.500, 0.000, 0.500)
Ti (0.500, 0.500, 0.000)
Ti (0.500, 0.500, 0.500)
Ti (0.625, 0.375, 0.250)
Ti (0.625, 0.750, 0.375)
Ti (0.750, 0.375, 0.625)
Ti (0.750, 0.875, 0.125)
Ti (0.875, 0.125, 0.750)
Ti (0.875, 0.250, 0.125)
Pd (0.050, 0.219, 0.128)
Pd (0.050, 0.331, 0.922)
Pd (0.078, 0.628, 0.409)
Pd (0.078, 0.950, 0.669)
Pd (0.091, 0.719, 0.669)
Pd (0.091, 0.872, 0.422)
Pd (0.128, 0.050, 0.219)
Pd (0.128, 0.578, 0.909)
Pd (0.169, 0.219, 0.591)
Pd (0.169, 0.450, 0.578)
Pd (0.219, 0.128, 0.050)
Pd (0.219, 0.591, 0.169)
Pd (0.281, 0.331, 0.909)
Pd (0.281, 0.450, 0.372)
Pd (0.331, 0.909, 0.281)
Pd (0.331, 0.922, 0.050)
Pd (0.372, 0.281, 0.450)
Pd (0.372, 0.591, 0.922)
Pd (0.409, 0.078, 0.628)
Pd (0.409, 0.831, 0.781)
Pd (0.422, 0.091, 0.872)
Pd (0.422, 0.831, 0.550)
Pd (0.450, 0.372, 0.281)
Pd (0.450, 0.578, 0.169)
Pd (0.550, 0.422, 0.831)
Pd (0.550, 0.628, 0.719)
Pd (0.578, 0.169, 0.450)
Pd (0.578, 0.909, 0.128)
Pd (0.591, 0.169, 0.219)
Pd (0.591, 0.922, 0.372)
Pd (0.628, 0.409, 0.078)
Pd (0.628, 0.719, 0.550)
Pd (0.669, 0.078, 0.950)
Pd (0.669, 0.091, 0.719)
Pd (0.719, 0.550, 0.628)
Pd (0.719, 0.669, 0.091)
Pd (0.781, 0.409, 0.831)
Pd (0.781, 0.872, 0.950)
Pd (0.831, 0.550, 0.422)
Pd (0.831, 0.781, 0.409)
Pd (0.872, 0.422, 0.091)
Pd (0.872, 0.950, 0.781)
Pd (0.909, 0.128, 0.578)
Pd (0.909, 0.281, 0.331)
Pd (0.922, 0.050, 0.331)
Pd (0.922, 0.372, 0.591)
Pd (0.950, 0.669, 0.078)
Pd (0.950, 0.781, 0.872)

=====

Entry 5:
Density functional theory data (PBE) for a geometry-optimized Sm2TiPd9 structure.

**SG**: P4/mmm

abc: 4.092 4.092 12.263
angles: 90.00 90.00 90.00
Sites, in units of the cell vectors:
Sm (0.000, 0.000, 0.173)
Sm (0.000, 0.000, 0.827)
Ti (0.000, 0.000, 0.500)
Pd (0.000, 0.500, 0.000)
Pd (0.000, 0.500, 0.350)
Pd (0.000, 0.500, 0.650)
Pd (0.500, 0.000, 0.000)
Pd (0.500, 0.000, 0.350)
Pd (0.500, 0.000, 0.650)
Pd (0.500, 0.500, 0.175)
Pd (0.500, 0.500, 0.500)
Pd (0.500, 0.500, 0.825)

=====

Entry 6:
Density functional theory data (PBE) for a geometry-optimized Sm4Tl5Pd2 structure.

**SG**: P2/m

abc: 8.014 3.755 9.816
angles: 90.00 94.03 90.00
Sites, in units of the cell vectors:
Sm (0.193, 0.000, 0.349)
Sm (0.220, 0.000, 0.926)
Sm (0.780, 0.000, 0.074)
Sm (0.807, 0.000, 0.651)
Tl (0.152, 0.500, 0.638)
Tl (0.454, 0.500, 0.166)
Tl (0.500, 0.500, 0.500)
Tl (0.546, 0.500, 0.834)
Tl (0.848, 0.500, 0.362)
Pd (0.077, 0.500, 0.133)
Pd (0.923, 0.500, 0.867)

=====

Entry 7:
Density functional theory data (PBE) for a geometry-optimized SmTlPd2 structure.

**SG**: P4/mmm

abc: 4.747 4.747 3.755
angles: 90.00 90.00 90.00
Sites, in units of the cell vectors:
Sm (0.000, 0.000, 0.000)
Tl (0.500, 0.500, 0.000)
Pd (0.000, 0.500, 0.500)
Pd (0.500, 0.000, 0.500)

=====

Entry 8:
Density functional theory data (PBE) for a geometry-optimized Sm6Tl2Pd structure.

**SG**: P-62m
**Distance to the lowest polymorph of the same formula**: 0 meV/atom

abc: 8.922 8.922 3.857
angles: 90.00 90.00 120.00
Sites, in units of the cell vectors:
Sm (0.000, 0.248, 0.000)
Sm (0.000, 0.602, 0.500)
Sm (0.248, 0.000, 0.000)
Sm (0.398, 0.398, 0.500)
Sm (0.602, 0.000, 0.500)
Sm (0.752, 0.752, 0.000)
Tl (0.333, 0.667, 0.000)
Tl (0.667, 0.333, 0.000)
Pd (0.000, 0.000, 0.500)

=====

Entry 9:
Density functional theory data (PBE) for a geometry-optimized Sm5Tl4Pd structure.

**SG**: P4/mmm

abc: 3.638 3.638 20.809
angles: 90.00 90.00 90.00
Sites, in units of the cell vectors:
Sm (0.000, 0.000, 0.000)
Sm (0.000, 0.000, 0.208)
Sm (0.000, 0.000, 0.416)
Sm (0.000, 0.000, 0.584)
Sm (0.000, 0.000, 0.792)
Tl (0.500, 0.500, 0.104)
Tl (0.500, 0.500, 0.311)
Tl (0.500, 0.500, 0.689)
Tl (0.500, 0.500, 0.896)
Pd (0.500, 0.500, 0.500)

=====

Entry 10:
Density functional theory data (PBE) for a geometry-optimized SmTl3Pd12 structure.

**SG**: P4/mmm

abc: 4.105 4.105 16.468
angles: 90.00 90.00 90.00
Sites, in units of the cell vectors:
Sm (0.000, 0.000, 0.000)
Tl (0.000, 0.000, 0.255)
Tl (0.000, 0.000, 0.500)
Tl (0.000, 0.000, 0.745)
Pd (0.000, 0.500, 0.129)
Pd (0.000, 0.500, 0.377)
Pd (0.000, 0.500, 0.623)
Pd (0.000, 0.500, 0.871)
Pd (0.500, 0.000, 0.129)
Pd (0.500, 0.000, 0.377)
Pd (0.500, 0.000, 0.623)
Pd (0.500, 0.000, 0.871)
Pd (0.500, 0.500, 0.000)
Pd (0.500, 0.500, 0.251)
Pd (0.500, 0.500, 0.500)
Pd (0.500, 0.500, 0.749)

=====

Entry 11:
Density functional theory data (PBE) for a geometry-optimized Sm2TlPd structure.

**SG**: R-3m

abc: 8.762 8.762 8.762
angles: 26.16 26.16 26.16
Sites, in units of the cell vectors:
Sm (0.237, 0.237, 0.237)
Sm (0.763, 0.763, 0.763)
Tl (0.000, 0.000, 0.000)
Pd (0.500, 0.500, 0.500)

=====

Entry 12:
Density functional theory data (PBE) for a geometry-optimized Sm7Tl2Pd2 structure.

**SG**: Cmmm

abc: 7.041 7.041 7.254
angles: 90.00 90.00 107.61
Sites, in units of the cell vectors:
Sm (0.000, 0.000, 0.000)
Sm (0.000, 0.500, 0.255)
Sm (0.000, 0.500, 0.745)
Sm (0.500, 0.000, 0.255)
Sm (0.500, 0.000, 0.745)
Sm (0.500, 0.500, 0.246)
Sm (0.500, 0.500, 0.754)
Tl (0.177, 0.177, 0.500)
Tl (0.823, 0.823, 0.500)
Pd (0.291, 0.709, 0.000)
Pd (0.709, 0.291, 0.000)

=====

Entry 13:
Density functional theory data (PBE) for a geometry-optimized Sm2TlPd structure.

**SG**: P4/mmm

abc: 3.634 3.634 7.834
angles: 90.00 90.00 90.00
Sites, in units of the cell vectors:
Sm (0.000, 0.000, 0.223)
Sm (0.000, 0.000, 0.777)
Tl (0.500, 0.500, 0.500)
Pd (0.500, 0.500, 0.000)

=====

Entry 14:
Density functional theory data (PBE) for a geometry-optimized Sm12TlPd6 structure.

**SG**: R-3
**Distance to the lowest polymorph of the same formula**: 114 meV/atom

abc: 8.884 8.884 8.884
angles: 108.88 108.88 108.88
Sites, in units of the cell vectors:
Sm (0.054, 0.352, 0.114)
Sm (0.114, 0.054, 0.352)
Sm (0.176, 0.468, 0.643)
Sm (0.352, 0.114, 0.054)
Sm (0.357, 0.824, 0.532)
Sm (0.468, 0.643, 0.176)
Sm (0.532, 0.357, 0.824)
Sm (0.643, 0.176, 0.468)
Sm (0.648, 0.886, 0.946)
Sm (0.824, 0.532, 0.357)
Sm (0.886, 0.946, 0.648)
Sm (0.946, 0.648, 0.886)
Tl (0.500, 0.500, 0.500)
Pd (0.147, 0.789, 0.718)
Pd (0.211, 0.282, 0.853)
Pd (0.282, 0.853, 0.211)
Pd (0.718, 0.147, 0.789)
Pd (0.789, 0.718, 0.147)
Pd (0.853, 0.211, 0.282)

=====

Entry 15:
Density functional theory data (PBE) for a geometry-optimized Sm2TlPd structure.

**SG**: R3m

abc: 8.598 8.598 8.598
angles: 27.29 27.29 27.29
Sites, in units of the cell vectors:
Sm (0.000, 0.000, 0.000)
Sm (0.197, 0.197, 0.197)
Tl (0.766, 0.766, 0.766)
Pd (0.600, 0.600, 0.600)

=====

Entry 16:
Density functional theory data (PBE) for a geometry-optimized Sm2Tl2Pd5 structure.

**SG**: Ima2

abc: 9.244 9.244 9.244
angles: 67.00 133.56 134.56
Sites, in units of the cell vectors:
Sm (0.071, 0.118, 0.189)
Sm (0.071, 0.382, 0.453)
Sm (0.929, 0.618, 0.547)
Sm (0.929, 0.882, 0.811)
Tl (0.329, 0.609, 0.220)
Tl (0.389, 0.109, 0.780)
Tl (0.611, 0.111, 0.500)
Tl (0.611, 0.611, 0.000)
Pd (0.108, 0.303, 0.832)
Pd (0.108, 0.776, 0.305)
Pd (0.471, 0.276, 0.168)
Pd (0.471, 0.803, 0.695)
Pd (0.501, 0.008, 0.167)
Pd (0.501, 0.834, 0.993)
Pd (0.515, 0.447, 0.568)
Pd (0.841, 0.334, 0.833)
Pd (0.841, 0.508, 0.007)
Pd (0.879, 0.947, 0.432)

=====

Entry 17:
Density functional theory data (PBE) for a geometry-optimized Sm12TlPd6 structure.

**SG**: Im-3
**Distance to the lowest polymorph of the same formula**: 0 meV/atom

abc: 8.829 8.829 8.829
angles: 109.47 109.47 109.47
Sites, in units of the cell vectors:
Sm (0.115, 0.816, 0.299)
Sm (0.184, 0.299, 0.483)
Sm (0.184, 0.701, 0.885)
Sm (0.299, 0.115, 0.816)
Sm (0.299, 0.483, 0.184)
Sm (0.483, 0.184, 0.299)
Sm (0.517, 0.816, 0.701)
Sm (0.701, 0.517, 0.816)
Sm (0.701, 0.885, 0.184)
Sm (0.816, 0.299, 0.115)
Sm (0.816, 0.701, 0.517)
Sm (0.885, 0.184, 0.701)
Tl (0.000, 0.000, 0.000)
Pd (0.134, 0.634, 0.500)
Pd (0.366, 0.500, 0.866)
Pd (0.500, 0.134, 0.634)
Pd (0.500, 0.866, 0.366)
Pd (0.634, 0.500, 0.134)
Pd (0.866, 0.366, 0.500)

=====

Entry 18:
Density functional theory data (PBE) for a geometry-optimized Sm3TlPd12 structure.

**SG**: P4/mmm

abc: 4.162 4.162 16.533
angles: 90.00 90.00 90.00
Sites, in units of the cell vectors:
Sm (0.000, 0.000, 0.000)
Sm (0.000, 0.000, 0.254)
Sm (0.000, 0.000, 0.746)
Tl (0.000, 0.000, 0.500)
Pd (0.000, 0.500, 0.126)
Pd (0.000, 0.500, 0.379)
Pd (0.000, 0.500, 0.621)
Pd (0.000, 0.500, 0.874)
Pd (0.500, 0.000, 0.126)
Pd (0.500, 0.000, 0.379)
Pd (0.500, 0.000, 0.621)
Pd (0.500, 0.000, 0.874)
Pd (0.500, 0.500, 0.000)
Pd (0.500, 0.500, 0.253)
Pd (0.500, 0.500, 0.500)
Pd (0.500, 0.500, 0.747)

=====

| no. | ΔE_f (eV/f.u.) |
| --- | --- |
| 1 | -1.6 |
| 2 | -1.7 |
| 3 | -12.2 |
| 4 | 0.2 |
| 5 | -9.0 |
| 6 | -5.4 |
| 7 | -2.1 |
| 8 | -3.2 |
| 9 | -4.7 |
| 10 | -5.5 |
| 11 | -1.8 |
| 12 | -3.2 |
| 13 | -2.3 |
| 14 | -8.4 |
| 15 | -1.8 |
| 16 | -3.9 |
| 17 | -10.6 |
| 18 | -10.5 |